Entry 1:
Material: Bi3MoC
Method: DFT, PBE-GGA
State: optimized geometry

Geometry as POSCAR:
```
Bi3MoC
1.0
4.926 0.000 0.000
0.000 4.926 0.000
0.000 0.000 4.926
Bi Mo C
3 1 1
Cartesian
0.000 0.000 2.463
0.000 2.463 0.000
2.463 0.000 0.000
2.463 2.463 2.463
0.000 0.000 0.000
```

Properties
Calculated density in kg/m³: 10209
Crystal system: cubic
Formation enthalpy at 0 K in eV per atom: 1.425
Polymorph energy (0 for the lowest one) in eV per atom: 0.000

=====

Entry 2:
Material: Pr6Sm16Tm7
Method: DFT, PBE-GGA
State: optimized geometry

Geometry as POSCAR:
```
Pr6Sm16Tm7
1.0
0.000 7.964 7.964
7.964 0.000 7.964
7.964 7.964 0.000
Pr Sm Tm
6 16 7
Cartesian
7.964 7.964 3.375
7.964 3.375 7.964
12.553 7.964 7.964
3.375 7.964 7.964
7.964 12.553 7.964
7.964 7.964 12.553
9.916 6.011 6.011
2.449 2.449 2.449
5.515 5.515 2.449
5.515 2.449 5.515
6.011 6.011 6.011
9.916 9.916 6.011
9.916 6.011 9.916
13.478 10.412 10.412
2.449 5.515 5.515
6.011 9.916 6.011
6.011 6.011 9.916
9.916 9.916 9.916
10.412 13.478 10.412
10.412 10.412 13.478
13.478 13.478 13.478
6.011 9.916 9.916
3.982 3.982 0.000
3.982 0.000 3.982
7.964 3.982 3.982
0.000 3.982 3.982
3.982 7.964 3.982
3.982 3.982 7.964
7.964 7.964 7.964
```

Properties
Calculated density in kg/m³: 7289
Crystal system: cubic
Formation enthalpy at 0 K in eV per atom: 0.210

=====

Entry 3:
Material: KYTl2
Method: DFT, PBE-GGA
State: optimized geometry

Geometry as POSCAR:
```
KYTl2
1.0
7.915 0.000 0.000
0.000 7.915 0.000
0.000 0.000 7.915
K Y Tl
4 4 8
Cartesian
0.000 0.000 0.000
0.000 3.958 3.958
3.958 0.000 3.958
3.958 3.958 0.000
0.000 0.000 3.958
0.000 3.958 0.000
3.958 0.000 0.000
3.958 3.958 3.958
1.979 1.979 1.979
1.979 1.979 5.936
1.979 5.936 1.979
1.979 5.936 5.936
5.936 1.979 1.979
5.936 1.979 5.936
5.936 5.936 1.979
5.936 5.936 5.936
```

Properties
Calculated density in kg/m³: 7190
Crystal system: cubic
Formation enthalpy at 0 K in eV per atom: -0.080
Polymorph energy (0 for the lowest one) in eV per atom: 0.130

=====

- The lowest calculated density belongs to which entry?
  KYTl2